# 1
# Fe3W

A relaxed Fe3W crystal (GGA-PBEsol, Alexandria).

Cell: 3.567 3.567 3.567 Å, 90.00 90.00 90.00°
Fractional positions:
1 Fe 0.000 0.000 0.500
2 Fe 0.000 0.500 0.000
3 Fe 0.500 0.000 0.000
4 W 0.500 0.500 0.500

- Space group: No. 221
- Crystal system: cubic

# 2
# Fe5W

A relaxed Fe5W crystal (GGA-PBEsol, Alexandria).

Cell: 2.867 2.867 8.528 Å, 90.00 90.00 90.00°
Fractional positions:
1 Fe 0.000 0.000 0.000
2 Fe 0.000 0.000 0.320
3 Fe 0.000 0.000 0.680
4 Fe 0.500 0.500 0.161
5 Fe 0.500 0.500 0.839
6 W 0.500 0.500 0.500

- Space group: No. 123
- Crystal system: tetragonal

# 3
# Fe3W

A relaxed Fe3W crystal (GGA-PBEsol, Alexandria).

Cell: 8.180 8.180 8.180 Å, 18.81 18.81 18.81°
Fractional positions:
1 Fe 0.000 0.000 0.000
2 Fe 0.255 0.255 0.255
3 Fe 0.745 0.745 0.745
4 W 0.500 0.500 0.500

- Space group: No. 166
- Crystal system: trigonal

Let's list energy relative to the elements in order: 0.07; 0.36; 1.23 eV/f.u..